## NpScCo2O8 (PBE+U)

Data for an optimized crystal structure of NpScCo2O8.

Cell lengths 5.7895, 5.7895, 5.7895 Å; angles 109.46, 109.46, 109.49 degrees
Positions (direct):
Np: 0.0000 0.0000 0.0000
Sc: 0.7500 0.2500 0.5000
Co: 0.2500 0.7500 0.5000
Co: 0.5000 0.5000 0.0000
O: 0.0487 0.3429 0.2942
O: 0.0487 0.7544 0.7058
O: 0.1227 0.3166 0.8061
O: 0.2456 0.9513 0.2942
O: 0.5105 0.3166 0.1939
O: 0.6571 0.9513 0.7058
O: 0.6834 0.4895 0.8061
O: 0.6834 0.8773 0.1939

Results
* calculated density: 5.9 g cm⁻³
* uncorrected energy: -91.740 eV per cell
* calculated volume: 149.4 Å³ per cell

=====

## NpCo2SiO6 (PBE+U)

Data for an optimized crystal structure of NpCo2SiO6.

Cell lengths 5.5503, 5.5503, 5.5503 Å; angles 55.87, 55.87, 55.87 degrees
Positions (direct):
Np: 0.0000 0.0000 0.0000
Co: 0.2108 0.2108 0.2108
Co: 0.7159 0.7159 0.7159
Si: 0.5056 0.5056 0.5056
O: 0.1537 0.4147 0.7465
O: 0.3115 0.8625 0.5923
O: 0.4147 0.7465 0.1537
O: 0.5923 0.3115 0.8625
O: 0.7465 0.1537 0.4147
O: 0.8625 0.5923 0.3115

Results
* calculated density: 7.3 g cm⁻³
* uncorrected energy: -78.244 eV per cell
* calculated volume: 109.3 Å³ per cell

=====

## SmNpCo2O8 (PBE+U)

Data for an optimized crystal structure of SmNpCo2O8.

Cell lengths 5.9224, 5.9224, 5.9224 Å; angles 108.59, 108.59, 111.26 degrees
Positions (direct):
Sm: 0.0000 0.0000 0.0000
Np: 0.7500 0.2500 0.5000
Co: 0.2500 0.7500 0.5000
Co: 0.5000 0.5000 0.0000
O: 0.0597 0.3893 0.3296
O: 0.0597 0.7300 0.6704
O: 0.0935 0.3022 0.7913
O: 0.2700 0.9403 0.3296
O: 0.5110 0.3022 0.2087
O: 0.6107 0.9403 0.6704
O: 0.6978 0.4890 0.7913
O: 0.6978 0.9065 0.2087

Results
* calculated density: 6.6 g cm⁻³
* uncorrected energy: -90.509 eV per cell
* calculated volume: 159.8 Å³ per cell

=====

## SmNpCoO6 (PBE+U)

Data for an optimized crystal structure of SmNpCoO6.

Cell lengths 5.7269, 5.7269, 8.6271 Å; angles 90.00, 90.00, 120.00 degrees
Positions (direct):
Sm: 0.3333 0.6667 0.2500
Sm: 0.6667 0.3333 0.7500
Np: 0.3333 0.6667 0.7500
Np: 0.6667 0.3333 0.2500
Co: 0.0000 0.0000 0.0000
Co: 0.0000 0.0000 0.5000
O: 0.0405 0.3538 0.6260
O: 0.0405 0.6867 0.8740
O: 0.3133 0.3538 0.8740
O: 0.3133 0.9595 0.6260
O: 0.3538 0.0405 0.1260
O: 0.3538 0.3133 0.3740
O: 0.6462 0.6867 0.6260
O: 0.6462 0.9595 0.8740
O: 0.6867 0.0405 0.3740
O: 0.6867 0.6462 0.1260
O: 0.9595 0.3133 0.1260
O: 0.9595 0.6462 0.3740

Results
* calculated density: 7.3 g cm⁻³
* uncorrected energy: -145.059 eV per cell
* calculated volume: 245.0 Å³ per cell

=====

## Sr2NpCo3O12 (PBE+U)

Data for an optimized crystal structure of Sr2NpCo3O12.

Cell lengths 7.1458, 7.1458, 7.1458 Å; angles 56.05, 56.05, 56.05 degrees
Positions (direct):
Sr: 0.0994 0.0994 0.0994
Sr: 0.9006 0.9006 0.9006
Np: 0.5000 0.5000 0.5000
Co: 0.0000 0.5000 0.5000
Co: 0.5000 0.0000 0.5000
Co: 0.5000 0.5000 0.0000
O: 0.1517 0.5815 0.5815
O: 0.1736 0.1736 0.5912
O: 0.1736 0.5912 0.1736
O: 0.4088 0.8264 0.8264
O: 0.4185 0.4185 0.8483
O: 0.4185 0.8483 0.4185
O: 0.5815 0.1517 0.5815
O: 0.5815 0.5815 0.1517
O: 0.5912 0.1736 0.1736
O: 0.8264 0.4088 0.8264
O: 0.8264 0.8264 0.4088
O: 0.8483 0.4185 0.4185

Results
* calculated density: 5.5 g cm⁻³
* uncorrected energy: -118.344 eV per cell
* calculated volume: 234.4 Å³ per cell

=====

## SrNpCo2O8 (PBE+U)

Data for an optimized crystal structure of SrNpCo2O8.

Cell lengths 6.0252, 6.0252, 6.0252 Å; angles 107.69, 107.69, 113.10 degrees
Positions (direct):
Sr: 0.0000 0.0000 0.0000
Np: 0.7500 0.2500 0.5000
Co: 0.2500 0.7500 0.5000
Co: 0.5000 0.5000 0.0000
O: 0.0689 0.4014 0.3325
O: 0.0689 0.7364 0.6675
O: 0.0974 0.3208 0.7766
O: 0.2636 0.9311 0.3325
O: 0.5442 0.3208 0.2234
O: 0.5986 0.9311 0.6675
O: 0.6792 0.4558 0.7766
O: 0.6792 0.9026 0.2234

Results
* calculated density: 5.6 g cm⁻³
* uncorrected energy: -84.620 eV per cell
* calculated volume: 167.9 Å³ per cell